Entry a
A PBEsol-optimized structure of LiMnTc2, computed with SCAN. Values from VASP.

## Properties
The calculation puts the size of the total moment at 0.0 Bohr magnetons per cell. Its volume is 48.2 Å³ per cell. Its symmetry is Fm-3m, No. 225.

The structure in Quantum ESPRESSO input format:
```
&SYSTEM
  ibrav = 0, nat = 4, ntyp = 3
/
ATOMIC_SPECIES
Li 6.94 Li.upf
Mn 54.94 Mn.upf
Tc 98.00 Tc.upf
ATOMIC_POSITIONS crystal
Li 0.0000 0.0000 0.0000
Mn 0.5000 0.5000 0.5000
Tc 0.2500 0.2500 0.2500
Tc 0.7500 0.7500 0.7500
CELL_PARAMETERS angstrom
0.0000 2.8877 2.8877
2.8877 0.0000 2.8877
2.8877 2.8877 0.0000
```

=====

Entry b
A PBEsol-optimized structure of LiMnTc2, computed with SCAN. Values from VASP.

## Properties
The calculation puts the size of the total moment at 0.0 Bohr magnetons per cell. Its volume is 53.0 Å³ per cell. Its symmetry is R-3m, No. 166.

The structure in Quantum ESPRESSO input format:
```
&SYSTEM
  ibrav = 0, nat = 4, ntyp = 3
/
ATOMIC_SPECIES
Li 6.94 Li.upf
Mn 54.94 Mn.upf
Tc 98.00 Tc.upf
ATOMIC_POSITIONS crystal
Li 0.0000 0.0000 0.0000
Mn 0.5000 0.5000 0.5000
Tc 0.2427 0.2427 0.2427
Tc 0.7573 0.7573 0.7573
CELL_PARAMETERS angstrom
1.3143 0.7588 8.8566
-1.3143 0.7588 8.8566
0.0000 -1.5177 8.8566
```

=====

Most stable: entry b (next structure +37 meV/atom)

=====

Entry a
A PBEsol-optimized structure of LiMnW, computed with SCAN. Values from VASP.

## Properties
The calculation puts the size of the total moment at 0.0 Bohr magnetons per cell. Its volume is 44.5 Å³ per cell. Its symmetry is F-43m, No. 216.

The structure in Quantum ESPRESSO input format:
```
&SYSTEM
  ibrav = 0, nat = 3, ntyp = 3
/
ATOMIC_SPECIES
Li 6.94 Li.upf
Mn 54.94 Mn.upf
W 183.84 W.upf
ATOMIC_POSITIONS crystal
Li 0.0000 0.0000 0.0000
Mn 0.5000 0.5000 0.5000
W 0.7500 0.7500 0.7500
CELL_PARAMETERS angstrom
0.0000 2.8134 2.8134
2.8134 0.0000 2.8134
2.8134 2.8134 0.0000
```

=====

Entry b
A PBEsol-optimized structure of LiMnW, computed with SCAN. Values from VASP.

## Properties
The calculation puts the size of the total moment at 0.0 Bohr magnetons per cell. Its volume is 37.5 Å³ per cell. Its symmetry is P3m1, No. 156.

The structure in Quantum ESPRESSO input format:
```
&SYSTEM
  ibrav = 0, nat = 3, ntyp = 3
/
ATOMIC_SPECIES
Li 6.94 Li.upf
Mn 54.94 Mn.upf
W 183.84 W.upf
ATOMIC_POSITIONS crystal
Li 0.0000 0.0000 0.0000
Mn 0.3333 0.6667 0.6880
W 0.6667 0.3333 0.3888
CELL_PARAMETERS angstrom
4.1434 0.0000 0.0000
-2.0717 3.5883 0.0000
0.0000 0.0000 2.5211
```

=====

Most stable: entry b (next structure +891 meV/atom)

=====

Entry a
A PBEsol-optimized structure of LiMoN2, computed with SCAN. Values from VASP.

## Properties
The calculation puts the size of the total moment at 0.0 Bohr magnetons per cell. Its volume is 98.2 Å³ per cell. Its symmetry is I-42d, No. 122.

The structure in Quantum ESPRESSO input format:
```
&SYSTEM
  ibrav = 0, nat = 8, ntyp = 3
/
ATOMIC_SPECIES
Li 6.94 Li.upf
Mo 95.94 Mo.upf
N 14.01 N.upf
ATOMIC_POSITIONS crystal
Li 0.0000 0.0000 0.0000
Li 0.7500 0.2500 0.5000
Mo 0.2500 0.7500 0.5000
Mo 0.5000 0.5000 0.0000
N 0.1693 0.6250 0.0443
N 0.3750 0.4193 0.5443
N 0.5807 0.1250 0.9557
N 0.8750 0.8307 0.4557
CELL_PARAMETERS angstrom
-2.3106 2.3106 4.5981
2.3106 -2.3106 4.5981
2.3106 2.3106 -4.5981
```

=====

Entry b
A PBEsol-optimized structure of LiMoN2, computed with SCAN. Values from VASP.

## Properties
The calculation puts the size of the total moment at 0.3 Bohr magnetons per cell. Its volume is 37.8 Å³ per cell. Its symmetry is R3m, No. 160.

The structure in Quantum ESPRESSO input format:
```
&SYSTEM
  ibrav = 0, nat = 4, ntyp = 3
/
ATOMIC_SPECIES
Li 6.94 Li.upf
Mo 95.94 Mo.upf
N 14.01 N.upf
ATOMIC_POSITIONS crystal
Li 0.0000 0.0000 0.0000
Mo 0.1725 0.1725 0.1725
N 0.4294 0.4294 0.4294
N 0.5833 0.5833 0.5833
CELL_PARAMETERS angstrom
1.4378 0.8301 5.2722
-1.4378 0.8301 5.2722
0.0000 -1.6602 5.2722
```

=====

Most stable: entry b (next structure +50 meV/atom)